DFT (PBE) results for an optimized crystal structure of RbTbTe2.

* total energy: -4.35 eV/atom
* volume: 460.9 Å³ per cell

Unit cell a=4.5235 b=4.5235 c=26.0081 alpha=90.00 beta=90.00 gamma=120.00
Space group R3m (No. 160, hexagonal axes)
Symmetry-distinct sites (fractional):
Rb: 0.0000 0.0000 0.0000 x3
Tb: 0.0000 0.0000 0.8314 x3
Te: 0.0000 0.0000 0.2312 x3
Te: 0.0000 0.0000 0.4318 x3